FeSiBRu, relaxed, DFT PBE; density of states at the Fermi level = 0.6635 states/eV/atom; E_form (uncorrected) = -44 kJ/mol of formula units; total DFT energy (no corrections) = -7.573 eV per atom
1.0
-2.480 2.564 -1.551
-1.708 -0.764 -3.410
-3.802 -0.808 -0.133
B Si Ru Fe
1 1 1 1
Cartesian
-3.995 0.496 -2.547
0.000 0.000 0.000
-1.997 0.248 -1.273
-5.992 0.744 -3.820


Fe2SnBRu, relaxed, DFT PBE; density of states at the Fermi level = 0.8320 states/eV/atom; formation energy = -0.04 eV/atom; total DFT energy (no corrections) = -7.413 eV per atom
1.0
3.948 0.000 0.000
0.000 3.948 0.000
0.000 0.000 4.140
Ru Fe B Sn
1 2 1 1
Cartesian
0.000 0.000 2.070
0.000 1.974 0.000
1.974 0.000 0.000
0.000 0.000 0.000
1.974 1.974 2.070


TaFeBRu2, relaxed, DFT PBE; density of states at the Fermi level = 0.4163 states/eV/atom; formation energy = -0.26 eV/atom; total DFT energy (no corrections) = -9.373 eV per atom
1.0
4.056 0.000 0.000
0.000 4.056 0.000
0.000 0.000 3.878
B Ta Ru Fe
1 1 2 1
Cartesian
0.000 0.000 0.000
2.028 2.028 1.939
2.028 0.000 0.000
0.000 2.028 0.000
0.000 0.000 1.939


TbFeB2Ru, relaxed, DFT PBE; density of states at the Fermi level = 0.6459 states/eV/atom; formation energy = -0.43 eV/atom; total DFT energy (no corrections) = -7.574 eV per atom
1.0
3.757 0.000 0.000
0.000 3.757 0.000
-1.879 -1.879 4.786
B Tb Ru Fe
2 1 1 1
Cartesian
0.000 0.000 3.278
1.879 1.879 1.507
0.000 0.000 0.000
1.879 0.000 2.393
0.000 1.879 2.393